1.
An optimized crystal structure of LiSb2WN. Source: Alexandria via LeMat-Bulk, functional PBE.

abc: 5.064 3.295 5.064
angles: 90.00 90.00 90.00
Fractional coordinates of all 5 atoms:
Sb (0.000, 0.000, 0.500)
Sb (0.500, 0.000, 0.000)
Li (0.000, 0.000, 0.000)
W (0.500, 0.500, 0.500)
N (0.000, 0.500, 0.000)

Properties
For the uncorrected formation energy, the calculation gives 1.266 eV per atom. Its density of states at the Fermi level is 5.19 states/eV per cell.

2.
An optimized crystal structure of BaSr2MgNi. Source: Alexandria via LeMat-Bulk, functional PBE.

abc: 5.901 5.901 5.330
angles: 90.00 90.00 90.00
Fractional coordinates of all 5 atoms:
Sr (0.000, 0.500, 0.000)
Sr (0.500, 0.000, 0.000)
Mg (0.000, 0.000, 0.500)
Ba (0.500, 0.500, 0.500)
Ni (0.000, 0.000, 0.000)

Properties
The formation energy is 34 meV/atom. The value obtained for the energy above the most stable polymorph in this dataset is 0.000 eV/atom. Its density of states at the Fermi level is 4.72 states/eV per cell.

3.
An optimized crystal structure of BaCrFe2. Source: Alexandria via LeMat-Bulk, functional PBE.

abc: 4.893 4.893 8.006
angles: 72.21 72.21 90.00
Fractional coordinates of all 8 atoms:
Cr (0.500, 0.500, 0.000)
Cr (0.250, 0.750, 0.500)
Ba (0.000, 0.000, 0.000)
Ba (0.750, 0.250, 0.500)
Fe (0.375, 0.125, 0.250)
Fe (0.375, 0.625, 0.250)
Fe (0.375, 0.625, 0.750)
Fe (0.875, 0.625, 0.750)

Properties
The formation energy is 1027 meV/atom. The value obtained for the energy above the most stable polymorph in this dataset is 0.533 eV/atom. Its density of states at the Fermi level is 11.67 states/eV per cell.

4.
An optimized crystal structure of Ca2NdCd2. Source: Alexandria via LeMat-Bulk, functional PBE.

abc: 3.693 3.874 11.353
angles: 80.18 90.00 90.00
Fractional coordinates of all 5 atoms:
Ca (0.000, 0.175, 0.650)
Ca (0.000, 0.825, 0.350)
Nd (0.000, 0.000, 0.000)
Cd (0.500, 0.410, 0.179)
Cd (0.500, 0.590, 0.821)

Properties
The formation energy is -231 meV/atom. The value obtained for the energy above the most stable polymorph in this dataset is 0.000 eV/atom. Its density of states at the Fermi level is 4.75 states/eV per cell.

5.
An optimized crystal structure of RbLa2Mo2N6. Source: Alexandria via LeMat-Bulk, functional PBE.

abc: 6.826 6.537 6.951
angles: 115.97 86.36 63.79
Fractional coordinates of all 11 atoms:
Rb (0.500, 0.000, 0.500)
La (0.820, 0.377, 0.788)
La (0.180, 0.623, 0.212)
Mo (0.173, 0.770, 0.813)
Mo (0.827, 0.230, 0.187)
N (0.404, 0.717, 0.941)
N (0.924, 0.452, 0.191)
N (0.161, 0.866, 0.598)
N (0.076, 0.548, 0.809)
N (0.839, 0.134, 0.402)
N (0.596, 0.283, 0.059)

Properties
For the uncorrected formation energy, the calculation gives -0.553 eV per atom. Its density of states at the Fermi level is 4.55 states/eV per cell.

6.
An optimized crystal structure of LaTeCI2. Source: Alexandria via LeMat-Bulk, functional PBE.

abc: 5.004 5.004 5.253
angles: 90.00 90.00 90.00
Fractional coordinates of all 5 atoms:
I (0.000, 0.500, 0.000)
I (0.500, 0.000, 0.000)
C (0.000, 0.000, 0.000)
Te (0.000, 0.000, 0.500)
La (0.500, 0.500, 0.500)

Properties
For the uncorrected formation energy, the calculation gives 0.227 eV per atom. The value obtained for the energy above the most stable polymorph in this dataset is 0.000 eV/atom. Its density of states at the Fermi level is 2.57 states/eV per cell.

7.
An optimized crystal structure of SrMgAs3. Source: Alexandria via LeMat-Bulk, functional PBE.

abc: 5.068 5.068 5.068
angles: 90.00 90.00 90.00
Fractional coordinates of all 5 atoms:
Sr (0.500, 0.500, 0.500)
As (0.000, 0.500, 0.000)
As (0.000, 0.000, 0.500)
As (0.500, 0.000, 0.000)
Mg (0.000, 0.000, 0.000)

Properties
The formation energy is -150 meV/atom. The value obtained for the energy above the most stable polymorph in this dataset is 0.000 eV/atom. Its density of states at the Fermi level is 3.04 states/eV per cell.

8.
An optimized crystal structure of Rb2BrO5. Source: Alexandria via LeMat-Bulk, functional PBE.

abc: 6.188 6.188 6.188
angles: 93.85 117.80 117.80
Fractional coordinates of all 8 atoms:
Rb (0.500, 0.255, 0.755)
Rb (0.500, 0.755, 0.255)
Br (0.000, 0.036, 0.036)
O (0.624, 0.798, 0.798)
O (0.000, 0.798, 0.174)
O (0.000, 0.174, 0.798)
O (0.376, 0.174, 0.174)
O (0.000, 0.234, 0.234)

Properties
For the uncorrected formation energy, the calculation gives -0.451 eV per atom.

no.,calculated total energy (eV per cell),M_tot (μB/atom)
1,-25.11,0.000
2,-12.49,0.000
3,-48.73,0.141
4,-11.75,0.056
5,-88.51,0.096
6,-19.26,0.036
7,-17.97,0.000
8,-32.01,0.124